Entry 1:
! NdDy5Mg6 (PBE, optimized geometry); values from VASP
&SYSTEM
  ibrav = 0, nat = 12, ntyp = 3
/
ATOMIC_SPECIES
Nd 144.24 Nd.upf
Dy 162.50 Dy.upf
Mg 24.30 Mg.upf
CELL_PARAMETERS angstrom
2.691 -8.079 0.000
2.691 8.079 0.000
0.000 0.000 7.590
ATOMIC_POSITIONS angstrom
Nd 0.000 0.000 0.000
Dy 0.000 0.000 3.795
Dy 2.691 2.715 0.000
Dy 2.691 2.674 3.795
Dy 2.691 -2.674 3.795
Dy 2.691 -2.715 0.000
Mg 2.691 5.362 1.915
Mg 2.691 5.362 5.675
Mg 2.691 0.000 1.915
Mg 2.691 0.000 5.674
Mg 2.691 -5.362 1.915
Mg 2.691 -5.362 5.675
! Space-group type: Cmmm, No. 65
! Energy of formation from the pure elements: -0.085 eV/atom
! M_tot: 0.00 μB per atom

Entry 2:
! Nd12Dy7Mg (PBE, optimized geometry); values from VASP
&SYSTEM
  ibrav = 0, nat = 20, ntyp = 3
/
ATOMIC_SPECIES
Nd 144.24 Nd.upf
Dy 162.50 Dy.upf
Mg 24.30 Mg.upf
CELL_PARAMETERS angstrom
-5.795 5.795 5.795
5.795 -5.795 5.795
5.795 5.795 -5.795
ATOMIC_POSITIONS angstrom
Nd 5.795 -2.914 2.934
Nd 2.881 2.862 0.000
Nd 8.709 2.862 0.000
Nd 2.934 5.795 -2.914
Nd 2.862 0.000 2.881
Nd 0.000 2.881 2.862
Nd 5.795 2.914 2.934
Nd 2.934 5.795 2.914
Nd 2.862 0.000 8.709
Nd -2.914 2.934 5.795
Nd 2.914 2.934 5.795
Nd 0.000 8.709 2.862
Dy 2.898 2.898 -2.898
Dy 2.898 -2.898 2.898
Dy 5.795 0.000 0.000
Dy -2.898 2.898 2.898
Dy 0.000 5.795 0.000
Dy 0.000 0.000 5.795
Dy 2.898 2.898 2.898
Mg 0.000 0.000 0.000
! Polymorph energy (0 for the lowest one): 536 meV/atom
! Space-group type: Im-3, No. 204
! Energy of formation from the pure elements: 0.673 eV/atom
! M_tot: 0.00 μB per atom